Record 1
A plane-wave DFT calculation with PBE-GGA was carried out for a geometry-optimized Rb2DyVS4 structure.

Cell: 7.0736 7.0736 7.0736 Å, 93.87 117.79 117.79°
With the nearest neighbours (Å) after each atom.
Fractional coordinates of all 8 atoms:
Rb  0.5000  0.7500  0.2500  4 S 3.31
Rb  0.0000  0.0000  0.0000  4 S 3.41
Dy  0.5000  0.2500  0.7500  4 S 2.60
V  0.0000  0.5000  0.5000  4 S 2.31
S  0.6183  0.3865  0.4656  1 V 2.31
S  0.0791  0.2317  0.6135  1 V 2.31
S  0.9209  0.5344  0.1527  1 V 2.31
S  0.3817  0.8473  0.7683  1 V 2.31

Output
The final energy is -5.29 eV/atom. For the energy relative to the elements, uncorrected, the calculation gives -1.268 eV/atom. As for the crystal system: tetragonal. As for the calculated volume: 258.0 Å³ per cell.

=====

Record 2
A plane-wave DFT calculation with PBE-GGA was carried out for a geometry-optimized AcPm5Ga4 structure.

Cell: 3.6685 3.6685 20.4569 Å, 90.00 90.00 90.00°
With the nearest neighbours (Å) after each atom.
Fractional coordinates of all 10 atoms:
Ac  0.0000  0.0000  0.0000  4 Ac 3.67, 8 Pm 3.88
Pm  0.5000  0.5000  0.1412  4 Ga 3.14
Pm  0.5000  0.5000  0.3201  8 Ga 3.18-3.21
Pm  0.5000  0.5000  0.5000  8 Ga 3.18
Pm  0.5000  0.5000  0.6799  8 Ga 3.18-3.21
Pm  0.5000  0.5000  0.8588  4 Ga 3.14
Ga  0.0000  0.0000  0.2275  8 Pm 3.14-3.21
Ga  0.0000  0.0000  0.4097  8 Pm 3.18
Ga  0.0000  0.0000  0.5903  8 Pm 3.18
Ga  0.0000  0.0000  0.7725  8 Pm 3.14-3.21

Output
The final energy is -4.43 eV/atom. As for the crystal system: tetragonal. As for the calculated volume: 275.3 Å³ per cell.

=====

Number 1: size of the total moment 0.250 μB per atom. Number 2: size of the total moment 0.000 μB per atom.